# 1
The following is a GGA-PBE calculation of Ba2Ag3Sb4Pd after structural relaxation, from Alexandria.

Results
Crystal system: tetragonal
Energy relative to the elements, uncorrected, kJ/mol of atoms: -52.0

Unit cell a=4.876 b=4.876 c=11.424 alpha=90.00 beta=90.00 gamma=90.00
Space group P-4m2 (No. 115)
Symmetry-distinct sites (fractional):
Ba 0.000 0.500 0.240 x2
Ag 0.000 0.000 0.000 x1
Ag 0.000 0.500 0.636 x2
Sb 0.000 0.000 0.500 x1
Sb 0.000 0.500 0.879 x2
Sb 0.500 0.500 0.500 x1
Pd 0.500 0.500 0.000 x1



# 2
The following is a GGA-PBE calculation of KInMo2 after structural relaxation, from Alexandria.

Results
Energy of formation, kJ per mole of atoms: 49.2
Crystal system: tetragonal

Unit cell a=3.262 b=3.262 c=8.939 alpha=90.00 beta=90.00 gamma=90.00
Space group P4mm (No. 99)
Symmetry-distinct sites (fractional):
K 0.000 0.000 0.000 x1
In 0.500 0.500 0.681 x1
Mo 0.000 0.000 0.461 x1
Mo 0.500 0.500 0.328 x1



# 3
The following is a GGA-PBE calculation of BaHfO2F after structural relaxation, from Alexandria.

Results
Crystal system: tetragonal
Energy relative to the elements, uncorrected, kJ/mol of atoms: -287.4

Unit cell a=4.223 b=4.223 c=4.340 alpha=90.00 beta=90.00 gamma=90.00
Space group P4/mmm (No. 123)
Symmetry-distinct sites (fractional):
Ba 0.000 0.000 0.000 x1
Hf 0.500 0.500 0.500 x1
O 0.000 0.500 0.500 x2
F 0.500 0.500 0.000 x1



# 4
The following is a GGA-PBE calculation of Cs2RhBr after structural relaxation, from Alexandria.

Results
Crystal system: tetragonal
Energy relative to the elements, uncorrected, kJ/mol of atoms: -6.4

Unit cell a=8.224 b=8.224 c=9.305 alpha=90.00 beta=90.00 gamma=90.00
Space group I-42d (No. 122)
Symmetry-distinct sites (fractional):
Cs 0.171 0.750 0.125 x8
Rh 0.000 0.000 0.000 x4
Br 0.000 0.000 0.500 x4



# 5
The following is a GGA-PBE calculation of SnAsSe after structural relaxation, from Alexandria.

Results
Energy above the most stable polymorph in this dataset, eV/f.u.: 0.50
Crystal system: trigonal
Energy relative to the elements, uncorrected, kJ/mol of atoms: -2.3

Unit cell a=4.0593 b=4.0593 c=5.0696 alpha=90.00 beta=90.00 gamma=120.00
Space group P3m1 (No. 156)
Symmetry-distinct sites (fractional):
Sn 0.0000 0.0000 0.0000 x1
As 0.3333 0.6667 0.7001 x1
Se 0.6667 0.3333 0.3438 x1



# 6
The following is a GGA-PBE calculation of La3TbY7 after structural relaxation, from Alexandria.

Results
Energy of formation, kJ per mole of atoms: 16.8
Energy above the most stable polymorph in this dataset, eV/f.u.: 0.60
Crystal system: trigonal

Unit cell a=7.1547 b=7.1547 c=8.8054 alpha=90.00 beta=90.00 gamma=120.00
Space group P3m1 (No. 156)
Symmetry-distinct sites (fractional):
La 0.1670 0.3340 0.0000 x3
Tb 0.3333 0.6667 0.3384 x1
Y 0.0000 0.0000 0.6603 x1
Y 0.0016 0.5008 0.6600 x3
Y 0.3322 0.1661 0.3383 x3



# 7
The following is a GGA-PBE calculation of SbPdC3 after structural relaxation, from Alexandria.

Results
Energy above the most stable polymorph in this dataset, eV/f.u.: 0.00
Crystal system: cubic
Energy relative to the elements, uncorrected, kJ/mol of atoms: 244.0

Unit cell a=4.100 b=4.100 c=4.100 alpha=90.00 beta=90.00 gamma=90.00
Space group Pm-3m (No. 221)
Symmetry-distinct sites (fractional):
Sb 0.000 0.000 0.000 x1
Pd 0.500 0.500 0.500 x1
C 0.000 0.500 0.500 x3



# 8
The following is a GGA-PBE calculation of K2Cd6PtAu after structural relaxation, from Alexandria.

Results
Energy of formation, kJ per mole of atoms: -18.6
Crystal system: orthorhombic

Unit cell a=7.813 b=10.453 c=7.342 alpha=90.00 beta=90.00 gamma=90.00
Space group Pmmn (No. 59, origin choice 2)
Symmetry-distinct sites (fractional):
K 0.250 0.008 0.244 x4
Cd 0.023 0.250 0.929 x4
Cd 0.026 0.750 0.555 x4
Cd 0.250 0.001 0.739 x4
Pt 0.250 0.250 0.657 x2
Au 0.250 0.750 0.844 x2